First-principles (PBE-GGA) data for a geometry-optimized Nd2CoSi structure, as listed in the Alexandria database.

Structure (extended XYZ):
```
4
Lattice="2.025 1.169 7.373 -2.025 1.169 7.373 0.000 -2.339 7.373" Properties=species:S:1:pos:R:3 pbc="T T T"
Nd 0.000 0.000 0.000
Nd 0.000 0.000 3.743
Co 0.000 0.000 16.629
Si 0.000 0.000 9.222
```

## Properties
Distance to the lowest polymorph of the same formula (meV/atom): 0
Formation energy from raw total energies (eV/atom): -0.443

First-principles (PBE-GGA) data for a geometry-optimized Nd3Co2Si4 structure, as listed in the Alexandria database.

Structure (extended XYZ):
```
9
Lattice="5.586 -1.974 0.000 5.586 1.974 0.000 -1.249 0.000 8.128" Properties=species:S:1:pos:R:3 pbc="T T T"
Nd 0.000 0.000 0.000
Nd 3.312 0.000 2.768
Nd 6.611 0.000 5.360
Co 3.494 0.000 5.895
Co 6.429 0.000 2.233
Si 0.145 0.000 3.090
Si 1.965 0.000 7.568
Si 7.958 0.000 0.560
Si 9.778 0.000 5.038
```

## Properties
Distance to the lowest polymorph of the same formula (meV/atom): 25
Formation energy from raw total energies (eV/atom): -0.668

First-principles (PBE-GGA) data for a geometry-optimized Nd2Co3Si4 structure, as listed in the Alexandria database.

Structure (extended XYZ):
```
9
Lattice="0.000 4.781 5.829 2.617 0.000 5.829 2.617 4.781 0.000" Properties=species:S:1:pos:R:3 pbc="T T T"
Nd 2.617 4.781 1.572
Nd 2.617 4.781 10.086
Co 1.308 2.391 0.000
Co 1.308 2.391 5.829
Co 2.617 4.781 5.829
Si 2.617 3.027 4.059
Si 2.617 3.027 7.599
Si 2.617 6.536 4.059
Si 2.617 6.536 7.599
```

## Properties
Formation energy from raw total energies (eV/atom): -0.498

First-principles (PBE-GGA) data for a geometry-optimized Nd2CoSi structure, as listed in the Alexandria database.

Structure (extended XYZ):
```
8
Lattice="5.857 0.000 0.000 0.000 4.214 0.000 -2.851 0.000 7.643" Properties=species:S:1:pos:R:3 pbc="T T T"
Nd -0.045 1.054 3.173
Nd 1.474 3.161 0.400
Nd 1.532 1.054 7.243
Nd 3.051 3.161 4.471
Co -0.878 1.054 5.845
Co 3.884 3.161 1.799
Si 0.072 3.161 5.431
Si 2.934 1.054 2.213
```

## Properties
Distance to the lowest polymorph of the same formula (meV/atom): 22
Formation energy from raw total energies (eV/atom): -0.420

First-principles (PBE-GGA) data for a geometry-optimized NdCoSi3 structure, as listed in the Alexandria database.

Structure (extended XYZ):
```
5
Lattice="-2.066 2.066 4.809 2.066 -2.066 4.809 2.066 2.066 -4.809" Properties=species:S:1:pos:R:3 pbc="T T T"
Nd 0.000 0.000 0.000
Co 0.000 0.000 6.317
Si 2.066 0.000 2.461
Si 0.000 0.000 4.057
Si 0.000 2.066 2.461
```

## Properties
Formation energy from raw total energies (eV/atom): -0.663

First-principles (PBE-GGA) data for a geometry-optimized Nd12Co6Si structure, as listed in the Alexandria database.

Structure (extended XYZ):
```
19
Lattice="-4.965 4.965 4.965 4.965 -4.965 4.965 4.965 4.965 -4.965" Properties=species:S:1:pos:R:3 pbc="T T T"
Nd 4.965 3.063 -1.961
Nd 3.004 0.000 1.902
Nd 6.927 0.000 1.902
Nd 1.902 3.004 0.000
Nd 3.063 -1.961 4.965
Nd 0.000 1.902 3.004
Nd 4.965 3.063 1.961
Nd 1.902 6.927 0.000
Nd 3.063 1.961 4.965
Nd -1.961 4.965 3.063
Nd 1.961 4.965 3.063
Nd 0.000 1.902 6.927
Co 4.965 1.112 0.000
Co 4.965 0.000 3.853
Co 3.853 4.965 0.000
Co 1.112 0.000 4.965
Co 0.000 4.965 1.112
Co 0.000 3.853 4.965
Si 0.000 0.000 0.000
```

## Properties
Formation energy from raw total energies (eV/atom): -0.119

First-principles (PBE-GGA) data for a geometry-optimized NdCo4Si4 structure, as listed in the Alexandria database.

Structure (extended XYZ):
```
9
Lattice="-3.929 3.929 2.072 3.929 -3.929 2.072 3.929 3.929 -2.072" Properties=species:S:1:pos:R:3 pbc="T T T"
Nd 0.000 0.000 0.000
Co 4.773 0.933 0.000
Co 0.933 3.084 0.000
Co 2.996 0.844 2.072
Co -0.844 2.996 2.072
Si 2.668 1.668 0.000
Si 2.261 -1.260 2.072
Si 1.668 5.189 0.000
Si 1.260 2.261 2.072
```

## Properties
Formation energy from raw total energies (eV/atom): -0.576

First-principles (PBE-GGA) data for a geometry-optimized NdCo3Si structure, as listed in the Alexandria database.

Structure (extended XYZ):
```
10
Lattice="-2.440 2.440 7.571 2.440 -2.440 7.571 2.440 2.440 -7.571" Properties=species:S:1:pos:R:3 pbc="T T T"
Nd 0.000 0.000 2.150
Nd 0.000 0.000 12.992
Co 1.296 2.440 -1.942
Co 1.144 0.000 5.629
Co 2.440 1.296 1.942
Co 0.000 2.440 0.129
Co 0.000 1.144 9.514
Co 0.000 2.440 7.442
Si 2.440 0.000 3.786
Si 0.000 0.000 7.571
```

## Properties
Formation energy from raw total energies (eV/atom): 0.060